<w>
{"formula": "Zr2ScMo", "functional": "GGA-PBEsol", "state": "relaxed", "lattice": [[-1.697, 2.400, 4.947], [1.697, -2.400, 4.947], [1.697, 2.400, -4.947]], "species": ["Zr", "Zr", "Sc", "Mo"], "fractional_positions": [[0.000, 0.000, 0.000], [0.717, 0.217, 0.500], [0.437, 0.437, 0.000], [0.208, 0.708, 0.500]], "magnetic_moment_mub_per_cell": 0.0}

<x>
{"formula": "Zr2ScMo", "functional": "GGA-PBEsol", "state": "relaxed", "lattice": [[-1.699, 2.514, 4.757], [1.699, -2.514, 4.757], [1.699, 2.514, -4.757]], "species": ["Zr", "Zr", "Sc", "Mo"], "fractional_positions": [[0.217, 0.217, 0.000], [0.783, 0.783, 0.000], [0.500, 0.000, 0.500], [0.000, 0.500, 0.500]], "magnetic_moment_mub_per_cell": 0.0}

Result of the stability comparison: <x> is the most stable of them.

<w>
{"formula": "ZrScMo2", "functional": "GGA-PBEsol", "state": "relaxed", "lattice": [[3.897, 0.000, 0.000], [0.000, 3.897, 0.000], [0.000, 0.000, 4.711]], "species": ["Zr", "Sc", "Mo", "Mo"], "fractional_positions": [[0.000, 0.000, 0.000], [0.500, 0.500, 0.000], [0.000, 0.500, 0.500], [0.500, 0.000, 0.500]], "magnetic_moment_mub_per_cell": 0.0}

<x>
{"formula": "ZrScMo2", "functional": "GGA-PBEsol", "state": "relaxed", "lattice": [[2.848, 0.000, 0.000], [0.000, 4.536, 0.000], [-0.817, 0.000, 5.449]], "species": ["Zr", "Sc", "Mo", "Mo"], "fractional_positions": [[0.000, 0.000, 0.000], [0.500, 0.000, 0.500], [0.231, 0.500, 0.749], [0.769, 0.500, 0.251]], "magnetic_moment_mub_per_cell": 0.0}

Result of the stability comparison: <x> is the most stable of them.

<w>
{"formula": "Mo3Se4", "functional": "GGA-PBEsol", "state": "relaxed", "lattice": [[4.725, 2.728, 3.724], [-4.725, 2.728, 3.724], [0.000, -5.456, 3.724]], "species": ["Mo", "Mo", "Mo", "Mo", "Mo", "Mo", "Se", "Se", "Se", "Se", "Se", "Se", "Se", "Se"], "fractional_positions": [[0.222, 0.547, 0.414], [0.414, 0.222, 0.547], [0.453, 0.586, 0.778], [0.547, 0.414, 0.222], [0.586, 0.778, 0.453], [0.778, 0.453, 0.586], [0.127, 0.380, 0.748], [0.214, 0.214, 0.214], [0.252, 0.873, 0.620], [0.380, 0.748, 0.127], [0.620, 0.252, 0.873], [0.748, 0.127, 0.380], [0.786, 0.786, 0.786], [0.873, 0.620, 0.252]], "magnetic_moment_mub_per_cell": 0.0}

<x>
{"formula": "Mo3Se4", "functional": "GGA-PBEsol", "state": "relaxed", "lattice": [[-1.527, 1.527, 13.737], [1.527, -1.527, 13.737], [1.527, 1.527, -13.737]], "species": ["Mo", "Mo", "Mo", "Se", "Se", "Se", "Se"], "fractional_positions": [[0.000, 0.000, 0.000], [0.285, 0.285, 0.000], [0.715, 0.715, 0.000], [0.165, 0.165, 0.000], [0.444, 0.444, 0.000], [0.556, 0.556, 0.000], [0.835, 0.835, 0.000]], "magnetic_moment_mub_per_cell": 0.0}

Result of the stability comparison: <w> is the most stable of them.

<w>
{"formula": "SiMo2Se", "functional": "GGA-PBEsol", "state": "relaxed", "lattice": [[3.098, 0.000, 0.000], [0.000, 3.963, 0.000], [0.000, 0.000, 4.969]], "species": ["Si", "Mo", "Mo", "Se"], "fractional_positions": [[0.000, 0.000, 0.000], [0.000, 0.500, 0.500], [0.500, 0.500, 0.000], [0.500, 0.000, 0.500]], "magnetic_moment_mub_per_cell": 0.0}

<x>
{"formula": "SiMo2Se", "functional": "GGA-PBEsol", "state": "relaxed", "lattice": [[0.000, 3.111, 3.111], [3.111, 0.000, 3.111], [3.111, 3.111, 0.000]], "species": ["Si", "Mo", "Mo", "Se"], "fractional_positions": [[0.000, 0.000, 0.000], [0.250, 0.250, 0.250], [0.500, 0.500, 0.500], [0.750, 0.750, 0.750]], "magnetic_moment_mub_per_cell": 0.0}

Result of the stability comparison: <w> is the most stable of them.

<w>
{"formula": "TaMoSe2", "functional": "GGA-PBEsol", "state": "relaxed", "lattice": [[4.344, 0.000, 0.000], [0.000, 3.102, 0.000], [-2.142, 0.000, 4.857]], "species": ["Ta", "Mo", "Se", "Se"], "fractional_positions": [[0.000, 0.000, 0.000], [0.500, 0.500, 0.500], [0.000, 0.000, 0.500], [0.500, 0.500, 0.000]], "magnetic_moment_mub_per_cell": 0.0}

<x>
{"formula": "TaMoSe2", "functional": "GGA-PBEsol", "state": "relaxed", "lattice": [[-1.565, 2.645, 4.122], [1.565, -2.645, 4.122], [1.565, 2.645, -4.122]], "species": ["Ta", "Mo", "Se", "Se"], "fractional_positions": [[0.000, 0.000, 0.000], [0.500, 0.500, 0.000], [0.259, 0.759, 0.500], [0.741, 0.241, 0.500]], "magnetic_moment_mub_per_cell": 0.0}

Result of the stability comparison: <w> is the most stable of them.

<w>
{"formula": "TeMoSe", "functional": "GGA-PBEsol", "state": "relaxed", "lattice": [[3.374, 0.000, 0.000], [-1.687, 2.922, 0.000], [0.000, 0.000, 13.514]], "species": ["Te", "Te", "Mo", "Mo", "Se", "Se"], "fractional_positions": [[0.000, 0.000, 0.137], [0.000, 0.000, 0.863], [0.000, 0.000, 0.500], [0.667, 0.333, 0.000], [0.667, 0.333, 0.379], [0.667, 0.333, 0.621]], "magnetic_moment_mub_per_cell": 0.0}

<x>
{"formula": "TeMoSe", "functional": "GGA-PBEsol", "state": "relaxed", "lattice": [[0.000, 3.208, 3.208], [3.208, 0.000, 3.208], [3.208, 3.208, 0.000]], "species": ["Te", "Mo", "Se"], "fractional_positions": [[0.000, 0.000, 0.000], [0.250, 0.250, 0.250], [0.500, 0.500, 0.500]], "magnetic_moment_mub_per_cell": 1.6}

Result of the stability comparison: <w> is the most stable of them.

<w>
{"formula": "TlMo2Se", "functional": "GGA-PBEsol", "state": "relaxed", "lattice": [[4.568, 0.000, 0.000], [0.000, 4.568, 0.000], [0.000, 0.000, 3.197]], "species": ["Tl", "Mo", "Mo", "Se"], "fractional_positions": [[0.000, 0.000, 0.000], [0.000, 0.500, 0.500], [0.500, 0.000, 0.500], [0.500, 0.500, 0.000]], "magnetic_moment_mub_per_cell": 0.0}

<x>
{"formula": "TlMo2Se", "functional": "GGA-PBEsol", "state": "relaxed", "lattice": [[2.838, -4.366, 0.000], [2.838, 4.366, 0.000], [-1.290, 0.000, 2.853]], "species": ["Tl", "Mo", "Mo", "Se"], "fractional_positions": [[0.000, 0.000, 0.000], [0.000, 0.500, 0.500], [0.500, 0.000, 0.500], [0.500, 0.500, 0.000]], "magnetic_moment_mub_per_cell": 0.0}

Result of the stability comparison: <w> is the most stable of them.

<w>
{"formula": "YMoSe2", "functional": "GGA-PBEsol", "state": "relaxed", "lattice": [[2.298, -2.303, 0.000], [2.298, 2.303, 0.000], [0.000, 0.000, 6.753]], "species": ["Y", "Mo", "Se", "Se"], "fractional_positions": [[0.000, 0.000, 0.000], [0.000, 0.000, 0.500], [0.500, 0.500, 0.277], [0.500, 0.500, 0.723]], "magnetic_moment_mub_per_cell": 0.0}

<x>
{"formula": "YMoSe2", "functional": "GGA-PBEsol", "state": "relaxed", "lattice": [[3.449, 0.000, 0.000], [0.000, 4.013, 0.000], [-0.388, 0.000, 5.767]], "species": ["Y", "Mo", "Se", "Se"], "fractional_positions": [[0.000, 0.000, 0.000], [0.500, 0.000, 0.500], [0.374, 0.500, 0.740], [0.626, 0.500, 0.260]], "magnetic_moment_mub_per_cell": 0.0}

Result of the stability comparison: <w> is the most stable of them.

<w>
{"formula": "Si3Mo5", "functional": "GGA-PBEsol", "state": "relaxed", "lattice": [[-4.801, 4.801, 2.434], [4.801, -4.801, 2.434], [4.801, 4.801, -2.434]], "species": ["Si", "Si", "Si", "Si", "Si", "Si", "Mo", "Mo", "Mo", "Mo", "Mo", "Mo", "Mo", "Mo", "Mo", "Mo"], "fractional_positions": [[0.167, 0.667, 0.835], [0.250, 0.250, 0.000], [0.333, 0.167, 0.500], [0.667, 0.833, 0.500], [0.750, 0.750, 0.000], [0.833, 0.333, 0.165], [0.077, 0.224, 0.301], [0.224, 0.923, 0.148], [0.250, 0.750, 0.500], [0.276, 0.423, 0.699], [0.423, 0.724, 0.148], [0.577, 0.276, 0.852], [0.724, 0.577, 0.301], [0.750, 0.250, 0.500], [0.776, 0.077, 0.852], [0.923, 0.776, 0.699]], "magnetic_moment_mub_per_cell": 0.0}

<x>
{"formula": "Si3Mo5", "functional": "GGA-PBEsol", "state": "relaxed", "lattice": [[7.233, 0.000, 0.000], [-3.616, 6.264, 0.000], [0.000, 0.000, 5.014]], "species": ["Si", "Si", "Si", "Si", "Si", "Si", "Mo", "Mo", "Mo", "Mo", "Mo", "Mo", "Mo", "Mo", "Mo", "Mo"], "fractional_positions": [[0.000, 0.395, 0.250], [0.000, 0.605, 0.750], [0.395, 0.000, 0.250], [0.395, 0.395, 0.750], [0.605, 0.000, 0.750], [0.605, 0.605, 0.250], [0.000, 0.240, 0.750], [0.000, 0.760, 0.250], [0.240, 0.000, 0.750], [0.240, 0.240, 0.250], [0.333, 0.667, 0.000], [0.333, 0.667, 0.500], [0.667, 0.333, 0.000], [0.667, 0.333, 0.500], [0.760, 0.000, 0.250], [0.760, 0.760, 0.750]], "magnetic_moment_mub_per_cell": 0.0}

Result of the stability comparison: <w> is the most stable of them.

<w>
{"formula": "SiMo3", "functional": "GGA-PBEsol", "state": "relaxed", "lattice": [[3.211, 0.000, 0.000], [0.000, 3.211, 0.000], [0.000, 0.000, 5.654]], "species": ["Si", "Mo", "Mo", "Mo"], "fractional_positions": [[0.000, 0.000, 0.000], [0.000, 0.000, 0.500], [0.500, 0.500, 0.236], [0.500, 0.500, 0.764]], "magnetic_moment_mub_per_cell": 0.0}

<x>
{"formula": "SiMo3", "functional": "GGA-PBEsol", "state": "relaxed", "lattice": [[4.859, 0.000, 0.000], [0.000, 4.859, 0.000], [0.000, 0.000, 4.859]], "species": ["Si", "Si", "Mo", "Mo", "Mo", "Mo", "Mo", "Mo"], "fractional_positions": [[0.000, 0.000, 0.000], [0.500, 0.500, 0.500], [0.000, 0.250, 0.500], [0.000, 0.750, 0.500], [0.250, 0.500, 0.000], [0.500, 0.000, 0.250], [0.500, 0.000, 0.750], [0.750, 0.500, 0.000]], "magnetic_moment_mub_per_cell": 0.0}

<y>
{"formula": "SiMo3", "functional": "GGA-PBEsol", "state": "relaxed", "lattice": [[2.912, 0.000, 0.000], [-1.456, 2.522, 0.000], [0.000, 0.000, 8.104]], "species": ["Si", "Mo", "Mo", "Mo"], "fractional_positions": [[0.000, 0.000, 0.000], [0.000, 0.000, 0.500], [0.667, 0.333, 0.238], [0.667, 0.333, 0.762]], "magnetic_moment_mub_per_cell": 0.0}

Result of the stability comparison: <x> is the most stable of them.

<w>
{"formula": "Si3Mo", "functional": "GGA-PBEsol", "state": "relaxed", "lattice": [[2.463, -5.341, 0.000], [2.463, 5.341, 0.000], [0.000, 0.000, 4.340]], "species": ["Si", "Si", "Si", "Si", "Si", "Si", "Mo", "Mo"], "fractional_positions": [[0.143, 0.328, 0.750], [0.201, 0.799, 0.750], [0.328, 0.143, 0.250], [0.672, 0.857, 0.750], [0.799, 0.201, 0.250], [0.857, 0.672, 0.250], [0.391, 0.609, 0.250], [0.609, 0.391, 0.750]], "magnetic_moment_mub_per_cell": 0.0}

<x>
{"formula": "Si3Mo", "functional": "GGA-PBEsol", "state": "relaxed", "lattice": [[-1.618, 2.150, 3.877], [1.618, -2.150, 3.877], [1.618, 2.150, -3.877]], "species": ["Si", "Si", "Si", "Mo"], "fractional_positions": [[0.000, 0.000, 0.000], [0.235, 0.735, 0.500], [0.765, 0.265, 0.500], [0.500, 0.500, 0.000]], "magnetic_moment_mub_per_cell": 0.0}

<y>
{"formula": "Si3Mo", "functional": "GGA-PBEsol", "state": "relaxed", "lattice": [[0.000, 3.018, 3.018], [3.018, 0.000, 3.018], [3.018, 3.018, 0.000]], "species": ["Si", "Si", "Si", "Mo"], "fractional_positions": [[0.000, 0.000, 0.000], [0.250, 0.250, 0.250], [0.750, 0.750, 0.750], [0.500, 0.500, 0.500]], "magnetic_moment_mub_per_cell": 0.0}

Result of the stability comparison: <x> is the most stable of them.

<w>
{"formula": "SrSi2Mo", "functional": "GGA-PBEsol", "state": "relaxed", "lattice": [[3.141, -4.051, 0.000], [3.141, 4.051, 0.000], [-0.533, 0.000, 2.798]], "species": ["Sr", "Si", "Si", "Mo"], "fractional_positions": [[0.000, 0.000, 0.000], [0.000, 0.500, 0.500], [0.500, 0.000, 0.500], [0.500, 0.500, 0.000]], "magnetic_moment_mub_per_cell": 0.0}

<x>
{"formula": "SrSi2Mo", "functional": "GGA-PBEsol", "state": "relaxed", "lattice": [[-1.804, 2.675, 4.106], [1.804, -2.675, 4.106], [1.804, 2.675, -4.106]], "species": ["Sr", "Si", "Si", "Mo"], "fractional_positions": [[0.000, 0.000, 0.000], [0.287, 0.787, 0.500], [0.713, 0.213, 0.500], [0.500, 0.500, 0.000]], "magnetic_moment_mub_per_cell": 0.0}

<y>
{"formula": "SrSi2Mo", "functional": "GGA-PBEsol", "state": "relaxed", "lattice": [[-2.013, 2.013, 4.580], [2.013, -2.013, 4.580], [2.013, 2.013, -4.580]], "species": ["Sr", "Si", "Si", "Mo"], "fractional_positions": [[0.000, 0.000, 0.000], [0.250, 0.750, 0.500], [0.500, 0.500, 0.000], [0.750, 0.250, 0.500]], "magnetic_moment_mub_per_cell": 0.1}

Result of the stability comparison: <x> is the most stable of them.